Version 1
La2NF2 | PBE | relaxed

Unit cell a=7.9502 b=7.1706 c=6.6761 alpha=90.00 beta=90.02 gamma=90.00
Positions (direct):
La  0.1188  0.1063  0.2994
La  0.1188  0.3937  0.7994
La  0.3606  0.5950  0.2461
La  0.3606  0.9050  0.7461
La  0.6394  0.0950  0.2539
La  0.6394  0.4050  0.7539
La  0.8812  0.6063  0.2006
La  0.8812  0.8937  0.7006
N  0.1299  0.0793  0.6540
N  0.1299  0.4207  0.1540
N  0.8701  0.5793  0.8460
N  0.8701  0.9207  0.3460
F  0.1894  0.6566  0.5630
F  0.1894  0.8434  0.0630
F  0.4376  0.1810  0.9439
F  0.4376  0.3190  0.4439
F  0.5624  0.6810  0.5561
F  0.5624  0.8190  0.0561
F  0.8106  0.1566  0.9370
F  0.8106  0.3434  0.4370

spin magnetization: 1.00 μB/f.u.
V: 19.0 A^3/atom



Version 2
La2NF2 | PBE | relaxed

Unit cell a=3.8069 b=3.8069 c=6.9200 alpha=90.00 beta=90.00 gamma=120.00
Positions (direct):
La  0.3333  0.6667  0.2930
La  0.6667  0.3333  0.7070
N  0.0000  0.0000  0.5000
F  0.3333  0.6667  0.8853
F  0.6667  0.3333  0.1147

spin magnetization: 0.00 μB/f.u.
V: 17.4 A^3/atom



Most stable structure - version 2; separation to the second - 82 meV per atom.



Version 1
LaNbN2F | PBE | relaxed

Unit cell a=4.1748 b=4.1748 c=4.0782 alpha=90.00 beta=90.00 gamma=90.00
Positions (direct):
La  0.0000  0.0000  0.0000
Nb  0.5000  0.5000  0.5000
N  0.0000  0.5000  0.5000
N  0.5000  0.0000  0.5000
F  0.5000  0.5000  0.0000

spin magnetization: 0.00 μB/f.u.
V: 14.2 A^3/atom



Version 2
LaNbN2F | PBE | relaxed

Unit cell a=4.5840 b=4.5840 c=4.3801 alpha=90.00 beta=90.00 gamma=90.00
Positions (direct):
La  0.0000  0.0000  0.0000
Nb  0.5000  0.5000  0.5000
N  0.0000  0.5000  0.0000
N  0.5000  0.0000  0.0000
F  0.0000  0.0000  0.5000

spin magnetization: 1.69 μB/f.u.
V: 18.4 A^3/atom



Most stable structure - version 1; separation to the second - 1754 meV per atom.